(1)
## CoPbW2 (SCAN)

Data for a PBEsol-optimized structure of CoPbW2.

a b c (Å): 3.7913 3.7913 8.7297
angles (deg): 90.00 90.00 90.00
Last column: nearest neighbours and their distance in Å.
Space group I4/mmm (No. 139)
Unique sites:
1 Co 0.0000 0.0000 0.0000 (multiplicity 2)  4 Pb 2.68, 8 W 2.89
2 Pb 0.0000 0.0000 0.5000 (multiplicity 2)  4 Co 2.68, 8 W 2.89
3 W 0.0000 0.5000 0.2500 (multiplicity 4)  4 W 2.68, 4 Co 2.89, 4 Pb 2.89

Values from the calculation:
Calculated formation energy: 786 meV per atom
Magnetic moment: 0.000 μB/atom

***

(2)
## Zn2CoPbW (SCAN)

Data for a PBEsol-optimized structure of Zn2CoPbW.

a b c (Å): 4.9382 4.9382 4.3586
angles (deg): 90.00 90.00 90.00
Last column: nearest neighbours and their distance in Å.
Space group P4/mmm (No. 123)
Unique sites:
1 Zn 0.0000 0.5000 0.0000 (multiplicity 2)  2 W 2.47
2 Co 0.0000 0.0000 0.5000 (multiplicity 1)  2 W 2.18
3 Pb 0.5000 0.5000 0.5000 (multiplicity 1)  8 Zn 3.29, 4 Co 3.49
4 W 0.0000 0.0000 0.0000 (multiplicity 1)  2 Co 2.18

Values from the calculation:
Calculated formation energy: 1139 meV per atom
Magnetic moment: 0.315 μB/atom

***

(3)
## YCo3Pb (SCAN)

Data for a PBEsol-optimized structure of YCo3Pb.

a b c (Å): 4.6929 4.6929 4.6929
angles (deg): 90.00 90.00 90.00
Last column: nearest neighbours and their distance in Å.
Space group Pm-3m (No. 221)
Unique sites:
1 Y 0.0000 0.0000 0.0000 (multiplicity 1)  12 Co 3.32
2 Co 0.0000 0.5000 0.5000 (multiplicity 3)  2 Pb 2.35
3 Pb 0.5000 0.5000 0.5000 (multiplicity 1)  6 Co 2.35

Values from the calculation:
Calculated formation energy: 924 meV per atom
Magnetic moment: 0.813 μB/atom

***

(4)
## Y3CoPb (SCAN)

Data for a PBEsol-optimized structure of Y3CoPb.

a b c (Å): 7.3335 7.3335 5.3697
angles (deg): 90.00 90.00 120.00
Last column: nearest neighbours and their distance in Å.
Space group P6_3/mmc (No. 194)
Unique sites:
1 Y 0.1741 0.3482 0.2500 (multiplicity 6)  2 Co 2.59
2 Co 0.0000 0.0000 0.0000 (multiplicity 2)  6 Y 2.59, 2 Co 2.68
3 Pb 0.3333 0.6667 0.7500 (multiplicity 2)  12 Y 3.36-3.67

Values from the calculation:
Calculated formation energy: -433 meV per atom
Magnetic moment: 0.000 μB/atom

***

(5)
## ZnCo2Pb (SCAN)

Data for a PBEsol-optimized structure of ZnCo2Pb.

a b c (Å): 5.5355 7.9940 2.9030
angles (deg): 90.00 113.37 90.00
Last column: nearest neighbours and their distance in Å.
Space group C2/m (No. 12)
Unique sites:
1 Zn 0.0000 0.0000 0.0000 (multiplicity 2)  4 Co 2.53, 2 Pb 2.77
2 Co 0.2500 0.2500 0.5000 (multiplicity 4)  2 Pb 2.53, 2 Zn 2.53, 2 Co 2.77
3 Pb 0.0000 0.5000 0.0000 (multiplicity 2)  4 Co 2.53, 2 Zn 2.77

Values from the calculation:
Calculated formation energy: 558 meV per atom
Magnetic moment: 0.774 μB/atom

***

(6)
## ZnCoPb2 (SCAN)

Data for a PBEsol-optimized structure of ZnCoPb2.

a b c (Å): 6.8680 6.8525 3.3628
angles (deg): 90.00 90.76 90.00
Last column: nearest neighbours and their distance in Å.
Space group C2/m (No. 12)
Unique sites:
1 Zn 0.0000 0.0000 0.0000 (multiplicity 2)  8 Pb 2.94-2.96
2 Co 0.0000 0.5000 0.0000 (multiplicity 2)  8 Pb 2.94-2.96
3 Pb 0.2500 0.2500 0.5000 (multiplicity 4)  4 Co 2.94-2.96, 4 Zn 2.94-2.96

Values from the calculation:
Calculated formation energy: 485 meV per atom
Magnetic moment: 0.431 μB/atom

***

(7)
## ZnCoPb3 (SCAN)

Data for a PBEsol-optimized structure of ZnCoPb3.

a b c (Å): 5.0030 5.0030 5.0030
angles (deg): 90.00 90.00 90.00
Last column: nearest neighbours and their distance in Å.
Space group Pm-3m (No. 221)
Unique sites:
1 Zn 0.0000 0.0000 0.0000 (multiplicity 1)  12 Pb 3.54
2 Co 0.5000 0.5000 0.5000 (multiplicity 1)  6 Pb 2.50
3 Pb 0.0000 0.5000 0.5000 (multiplicity 3)  2 Co 2.50

Values from the calculation:
Calculated formation energy: 372 meV per atom
Magnetic moment: 0.182 μB/atom

***

(8)
## ZnCo2Pb (SCAN)

Data for a PBEsol-optimized structure of ZnCo2Pb.

a b c (Å): 3.9437 3.1086 9.8346
angles (deg): 90.00 90.00 90.00
Last column: nearest neighbours and their distance in Å.
Space group Amm2 (No. 38)
Unique sites:
1 Zn 0.0000 0.0000 0.0000 (multiplicity 2)  6 Co 2.49-2.62
2 Co 0.0000 0.0000 0.3024 (multiplicity 2)  2 Co 2.30, 2 Zn 2.49
3 Co 0.5000 0.0000 0.4229 (multiplicity 2)  2 Co 2.30
4 Pb 0.5000 0.0000 0.6890 (multiplicity 2)  7 Co 2.62-2.78

Values from the calculation:
Calculated formation energy: 413 meV per atom
Magnetic moment: 0.750 μB/atom

***

The highest magnetic moment belongs to which entry?
YCo3Pb

***

Look up the calculated formation energy of the first one.
786 meV per atom